1.
First-principles (PBE) data for a geometry-optimized Sm7YTh2 structure, as listed in the Alexandria database.

```
data_Sm7YTh2
_chemical_formula_sum 'Sm14 Y2 Th4'
_space_group_name_H-M_alt 'C m m m'
_space_group_IT_number 65
_space_group_name_Hall '-C 2 2'
_cell_length_a 8.7922
_cell_length_b 16.7347
_cell_length_c 5.6106
_cell_angle_alpha 90.00
_cell_angle_beta 90.00
_cell_angle_gamma 90.00
loop_
_atom_site_label
_atom_site_fract_x
_atom_site_fract_y
_atom_site_fract_z
_atom_site_occupancy
Sm1 0.0000 0.0000 0.0000 1
Sm2 0.0000 0.2839 0.5000 1
Sm3 0.1774 0.3884 0.0000 1
Y1 0.0000 0.5000 0.5000 1
Th1 0.0000 0.2048 0.0000 1
```

Values from the calculation:
Formation energy (eV per atom): 0.73
Total magnetic moment (μB/f.u.): 0.00

=====

2.
First-principles (PBE) data for a geometry-optimized Nd2ScVS6 structure, as listed in the Alexandria database.

```
data_Nd2ScVS6
_chemical_formula_sum 'Nd4 Sc2 V2 S12'
_space_group_name_H-M_alt 'P 1 21/c 1'
_space_group_IT_number 14
_space_group_name_Hall '-P 2ybc'
_cell_length_a 6.3975
_cell_length_b 7.0652
_cell_length_c 11.2840
_cell_angle_alpha 90.00
_cell_angle_beta 123.67
_cell_angle_gamma 90.00
loop_
_atom_site_label
_atom_site_fract_x
_atom_site_fract_y
_atom_site_fract_z
_atom_site_occupancy
Nd1 0.2092 0.0996 0.2484 1
Sc1 0.5000 0.0000 0.0000 1
V1 0.0000 0.0000 0.5000 1
S1 0.1155 0.1939 0.9432 1
S2 0.2588 0.6834 0.9434 1
S3 0.3603 0.0263 0.7420 1
```

Values from the calculation:
Total magnetic moment (μB/f.u.): 2.00
Calculated total energy (eV per atom): -6.694

=====

3.
First-principles (PBE) data for a geometry-optimized PaHAu structure, as listed in the Alexandria database.

```
data_PaHAu
_chemical_formula_sum 'Pa4 H4 Au4'
_space_group_name_H-M_alt 'C m c m'
_space_group_IT_number 63
_space_group_name_Hall '-C 2c 2'
_cell_length_a 3.7039
_cell_length_b 12.1724
_cell_length_c 4.3949
_cell_angle_alpha 90.00
_cell_angle_beta 90.00
_cell_angle_gamma 90.00
loop_
_atom_site_label
_atom_site_fract_x
_atom_site_fract_y
_atom_site_fract_z
_atom_site_occupancy
Pa1 0.0000 0.1545 0.2500 1
H1 0.0000 0.2375 0.7500 1
Au1 0.0000 0.4293 0.2500 1
```

Values from the calculation:
ΔE to the lowest computed polymorph (meV per atom): 0.0
Total magnetic moment (μB/f.u.): 0.50

=====

4.
First-principles (PBE) data for a geometry-optimized KP3Cl structure, as listed in the Alexandria database.

```
data_KP3Cl
_chemical_formula_sum 'K1 P3 Cl1'
_space_group_name_H-M_alt 'P m -3 m'
_space_group_IT_number 221
_space_group_name_Hall '-P 4 2 3'
_cell_length_a 6.6049
_cell_length_b 6.6049
_cell_length_c 6.6049
_cell_angle_alpha 90.00
_cell_angle_beta 90.00
_cell_angle_gamma 90.00
loop_
_atom_site_label
_atom_site_fract_x
_atom_site_fract_y
_atom_site_fract_z
_atom_site_occupancy
K1 0.0000 0.0000 0.0000 1
P1 0.0000 0.0000 0.5000 1
Cl1 0.5000 0.5000 0.5000 1
```

Values from the calculation:
ΔE to the lowest computed polymorph (meV per atom): 774.8
Total magnetic moment (μB/f.u.): 8.50

=====

5.
First-principles (PBE) data for a geometry-optimized LiCa2NpTe4 structure, as listed in the Alexandria database.

```
data_LiCa2NpTe4
_chemical_formula_sum 'Li1 Ca2 Np1 Te4'
_space_group_name_H-M_alt 'P 1 2/m 1'
_space_group_IT_number 10
_space_group_name_Hall '-P 2y'
_cell_length_a 7.6947
_cell_length_b 4.4668
_cell_length_c 7.7125
_cell_angle_alpha 90.00
_cell_angle_beta 108.98
_cell_angle_gamma 90.00
loop_
_atom_site_label
_atom_site_fract_x
_atom_site_fract_y
_atom_site_fract_z
_atom_site_occupancy
Li1 0.0000 0.0000 0.0000 1
Ca1 0.0000 0.5000 0.5000 1
Ca2 0.5000 0.0000 0.5000 1
Np1 0.5000 0.5000 0.0000 1
Te1 0.2463 0.5000 0.2420 1
Te2 0.2481 0.0000 0.7576 1
```

Values from the calculation:
Total magnetic moment (μB/f.u.): 4.00
Calculated total energy (eV per atom): -5.114

=====

6.
First-principles (PBE) data for a geometry-optimized TiTl2SeO6 structure, as listed in the Alexandria database.

```
data_TiTl2SeO6
_chemical_formula_sum 'Ti2 Tl4 Se2 O12'
_space_group_name_H-M_alt 'I 4/m m m'
_space_group_IT_number 139
_space_group_name_Hall '-I 4 2'
_cell_length_a 5.6523
_cell_length_b 5.6523
_cell_length_c 7.9840
_cell_angle_alpha 90.00
_cell_angle_beta 90.00
_cell_angle_gamma 90.00
loop_
_atom_site_label
_atom_site_fract_x
_atom_site_fract_y
_atom_site_fract_z
_atom_site_occupancy
Ti1 0.0000 0.0000 0.0000 1
Tl1 0.0000 0.5000 0.2500 1
Se1 0.0000 0.0000 0.5000 1
O1 0.0000 0.0000 0.2475 1
O2 0.2474 0.2474 0.0000 1
```

Values from the calculation:
Total magnetic moment (μB/f.u.): 0.00
Calculated total energy (eV per atom): -5.681

=====

7.
First-principles (PBE) data for a geometry-optimized Cs2LiTl structure, as listed in the Alexandria database.

```
data_Cs2LiTl
_chemical_formula_sum 'Cs8 Li4 Tl4'
_space_group_name_H-M_alt 'I -4 2 d'
_space_group_IT_number 122
_space_group_name_Hall 'I -4 2bw'
_cell_length_a 10.7306
_cell_length_b 10.7306
_cell_length_c 7.6784
_cell_angle_alpha 90.00
_cell_angle_beta 90.00
_cell_angle_gamma 90.00
loop_
_atom_site_label
_atom_site_fract_x
_atom_site_fract_y
_atom_site_fract_z
_atom_site_occupancy
Cs1 0.2500 0.2500 0.3750 1
Li1 0.0000 0.0000 0.0000 1
Tl1 0.0000 0.0000 0.5000 1
```

Values from the calculation:
Formation energy (eV per atom): 0.22
ΔE to the lowest computed polymorph (meV per atom): 47.2
Total magnetic moment (μB/f.u.): 0.00

=====

8.
First-principles (PBE) data for a geometry-optimized K4TlRe3O12 structure, as listed in the Alexandria database.

```
data_K4TlRe3O12
_chemical_formula_sum 'K8 Tl2 Re6 O24'
_space_group_name_H-M_alt 'I m -3 m'
_space_group_IT_number 229
_space_group_name_Hall '-I 4 2 3'
_cell_length_a 8.0982
_cell_length_b 8.0982
_cell_length_c 8.0982
_cell_angle_alpha 90.00
_cell_angle_beta 90.00
_cell_angle_gamma 90.00
loop_
_atom_site_label
_atom_site_fract_x
_atom_site_fract_y
_atom_site_fract_z
_atom_site_occupancy
K1 0.2500 0.2500 0.2500 1
Tl1 0.0000 0.0000 0.0000 1
Re1 0.0000 0.0000 0.5000 1
O1 0.0000 0.0000 0.2699 1
O2 0.0000 0.2500 0.5000 1
```

Values from the calculation:
Total magnetic moment (μB/f.u.): 1.76
Calculated total energy (eV per atom): -6.667

=====

9.
First-principles (PBE) data for a geometry-optimized AcRhC structure, as listed in the Alexandria database.

```
data_AcRhC
_chemical_formula_sum 'Ac1 Rh1 C1'
_space_group_name_H-M_alt 'P 3 m 1'
_space_group_IT_number 156
_space_group_name_Hall 'P 3 -2"'
_cell_length_a 3.7709
_cell_length_b 3.7709
_cell_length_c 4.4935
_cell_angle_alpha 90.00
_cell_angle_beta 90.00
_cell_angle_gamma 120.00
loop_
_atom_site_label
_atom_site_fract_x
_atom_site_fract_y
_atom_site_fract_z
_atom_site_occupancy
Ac1 0.0000 0.0000 0.0000 1
Rh1 0.6667 0.3333 0.4990 1
C1 0.3333 0.6667 0.4327 1
```

Values from the calculation:
Formation energy (eV per atom): 0.10
ΔE to the lowest computed polymorph (meV per atom): 162.6
Total magnetic moment (μB/f.u.): 0.00

=====

10.
First-principles (PBE) data for a geometry-optimized Dy2Er3S4 structure, as listed in the Alexandria database.

```
data_Dy2Er3S4
_chemical_formula_sum 'Dy2 Er3 S4'
_space_group_name_H-M_alt 'P -3 m 1'
_space_group_IT_number 164
_space_group_name_Hall '-P 3 2"'
_cell_length_a 3.8331
_cell_length_b 3.8331
_cell_length_c 15.8092
_cell_angle_alpha 90.00
_cell_angle_beta 90.00
_cell_angle_gamma 120.00
loop_
_atom_site_label
_atom_site_fract_x
_atom_site_fract_y
_atom_site_fract_z
_atom_site_occupancy
Dy1 0.3333 0.6667 0.2059 1
Er1 0.0000 0.0000 0.0000 1
Er2 0.3333 0.6667 0.5891 1
S1 0.0000 0.0000 0.3078 1
S2 0.3333 0.6667 0.8991 1
```

Values from the calculation:
Total magnetic moment (μB/f.u.): 0.00
Calculated total energy (eV per atom): -6.123

=====

11.
First-principles (PBE) data for a geometry-optimized RbCdP structure, as listed in the Alexandria database.

```
data_RbCdP
_chemical_formula_sum 'Rb4 Cd4 P4'
_space_group_name_H-M_alt 'C m c m'
_space_group_IT_number 63
_space_group_name_Hall '-C 2c 2'
_cell_length_a 4.4731
_cell_length_b 19.3452
_cell_length_c 4.5120
_cell_angle_alpha 90.00
_cell_angle_beta 90.00
_cell_angle_gamma 90.00
loop_
_atom_site_label
_atom_site_fract_x
_atom_site_fract_y
_atom_site_fract_z
_atom_site_occupancy
Rb1 0.0000 0.0986 0.2500 1
Cd1 0.0000 0.2500 0.7500 1
P1 0.0000 0.3319 0.2500 1
```

Values from the calculation:
Formation energy (eV per atom): -0.29
Total magnetic moment (μB/f.u.): 0.00

=====

12.
First-principles (PBE) data for a geometry-optimized PSe2Br structure, as listed in the Alexandria database.

```
data_PSe2Br
_chemical_formula_sum 'P2 Se4 Br2'
_space_group_name_H-M_alt 'C m m m'
_space_group_IT_number 65
_space_group_name_Hall '-C 2 2'
_cell_length_a 3.0837
_cell_length_b 10.1058
_cell_length_c 10.0941
_cell_angle_alpha 90.00
_cell_angle_beta 90.00
_cell_angle_gamma 90.00
loop_
_atom_site_label
_atom_site_fract_x
_atom_site_fract_y
_atom_site_fract_z
_atom_site_occupancy
P1 0.0000 0.0000 0.0000 1
Se1 0.0000 0.5000 0.1696 1
Br1 0.0000 0.0000 0.5000 1
```

Values from the calculation:
ΔE to the lowest computed polymorph (meV per atom): 293.7
Total magnetic moment (μB/f.u.): 0.00

=====

13.
First-principles (PBE) data for a geometry-optimized LaSc2InC structure, as listed in the Alexandria database.

```
data_LaSc2InC
_chemical_formula_sum 'La1 Sc2 In1 C1'
_space_group_name_H-M_alt 'P 4/m m m'
_space_group_IT_number 123
_space_group_name_Hall '-P 4 2'
_cell_length_a 4.6788
_cell_length_b 4.6788
_cell_length_c 5.1531
_cell_angle_alpha 90.00
_cell_angle_beta 90.00
_cell_angle_gamma 90.00
loop_
_atom_site_label
_atom_site_fract_x
_atom_site_fract_y
_atom_site_fract_z
_atom_site_occupancy
La1 0.0000 0.0000 0.0000 1
Sc1 0.0000 0.5000 0.5000 1
In1 0.5000 0.5000 0.0000 1
C1 0.0000 0.0000 0.5000 1
```

Values from the calculation:
Formation energy (eV per atom): -0.43
Total magnetic moment (μB/f.u.): 0.00

=====

14.
First-principles (PBE) data for a geometry-optimized La5PuIn6 structure, as listed in the Alexandria database.

```
data_La5PuIn6
_chemical_formula_sum 'La10 Pu2 In12'
_space_group_name_H-M_alt 'I m m m'
_space_group_IT_number 71
_space_group_name_Hall '-I 2 2'
_cell_length_a 5.5688
_cell_length_b 7.8233
_cell_length_c 16.7254
_cell_angle_alpha 90.00
_cell_angle_beta 90.00
_cell_angle_gamma 90.00
loop_
_atom_site_label
_atom_site_fract_x
_atom_site_fract_y
_atom_site_fract_z
_atom_site_occupancy
La1 0.0000 0.0000 0.0000 1
La2 0.0000 0.0000 0.3318 1
La3 0.0000 0.5000 0.3349 1
Pu1 0.0000 0.5000 0.0000 1
In1 0.0000 0.2414 0.5000 1
In2 0.0000 0.2540 0.1648 1
```

Values from the calculation:
Formation energy (eV per atom): -0.43
Total magnetic moment (μB/f.u.): 5.55

=====

15.
First-principles (PBE) data for a geometry-optimized KCu2Mo structure, as listed in the Alexandria database.

```
data_KCu2Mo
_chemical_formula_sum 'K3 Cu6 Mo3'
_space_group_name_H-M_alt 'R 3 m'
_space_group_IT_number 160
_space_group_name_Hall 'R 3 -2"'
_cell_length_a 2.8248
_cell_length_b 2.8248
_cell_length_c 29.8340
_cell_angle_alpha 90.00
_cell_angle_beta 90.00
_cell_angle_gamma 120.00
loop_
_atom_site_label
_atom_site_fract_x
_atom_site_fract_y
_atom_site_fract_z
_atom_site_occupancy
K1 0.0000 0.0000 0.0000 1
Cu1 0.0000 0.0000 0.2407 1
Cu2 0.0000 0.0000 0.5096 1
Mo1 0.0000 0.0000 0.7711 1
```

Values from the calculation:
Formation energy (eV per atom): 0.80
ΔE to the lowest computed polymorph (meV per atom): 230.2
Total magnetic moment (μB/f.u.): 0.00

=====

16.
First-principles (PBE) data for a geometry-optimized SiTcAs structure, as listed in the Alexandria database.

```
data_SiTcAs
_chemical_formula_sum 'Si1 Tc1 As1'
_space_group_name_H-M_alt 'P 3 m 1'
_space_group_IT_number 156
_space_group_name_Hall 'P 3 -2"'
_cell_length_a 3.1044
_cell_length_b 3.1044
_cell_length_c 5.5716
_cell_angle_alpha 90.00
_cell_angle_beta 90.00
_cell_angle_gamma 120.00
loop_
_atom_site_label
_atom_site_fract_x
_atom_site_fract_y
_atom_site_fract_z
_atom_site_occupancy
Si1 0.0000 0.0000 0.0000 1
Tc1 0.6667 0.3333 0.3073 1
As1 0.3333 0.6667 0.6281 1
```

Values from the calculation:
ΔE to the lowest computed polymorph (meV per atom): 0.0
Total magnetic moment (μB/f.u.): 0.00

=====

17.
First-principles (PBE) data for a geometry-optimized Hf4AlOs structure, as listed in the Alexandria database.

```
data_Hf4AlOs
_chemical_formula_sum 'Hf16 Al4 Os4'
_space_group_name_H-M_alt 'C 1 2/c 1'
_space_group_IT_number 15
_space_group_name_Hall '-C 2yc'
_cell_length_a 7.9682
_cell_length_b 12.3331
_cell_length_c 5.5601
_cell_angle_alpha 90.00
_cell_angle_beta 113.10
_cell_angle_gamma 90.00
loop_
_atom_site_label
_atom_site_fract_x
_atom_site_fract_y
_atom_site_fract_z
_atom_site_occupancy
Hf1 0.1127 0.1849 0.0674 1
Hf2 0.2120 0.4206 0.3308 1
Al1 0.0000 0.3782 0.7500 1
Os1 0.0000 0.0066 0.2500 1
```

Values from the calculation:
Formation energy (eV per atom): -0.22
Total magnetic moment (μB/f.u.): 0.00

=====

18.
First-principles (PBE) data for a geometry-optimized HoZrCl structure, as listed in the Alexandria database.

```
data_HoZrCl
_chemical_formula_sum 'Ho2 Zr2 Cl2'
_space_group_name_H-M_alt 'P 1'
_space_group_IT_number 1
_space_group_name_Hall 'P 1'
_cell_length_a 3.4107
_cell_length_b 3.4121
_cell_length_c 13.8828
_cell_angle_alpha 85.95
_cell_angle_beta 86.76
_cell_angle_gamma 61.12
loop_
_atom_site_label
_atom_site_fract_x
_atom_site_fract_y
_atom_site_fract_z
_atom_site_occupancy
Ho1 0.0000 0.0000 0.0000 1
Ho2 0.3606 0.3839 0.8048 1
Zr1 0.1058 0.0502 0.4878 1
Zr2 0.6246 0.5884 0.3114 1
Cl1 0.3123 0.2920 0.1686 1
Cl2 0.7633 0.6834 0.6291 1
```

Values from the calculation:
Total magnetic moment (μB/f.u.): 0.00
Calculated total energy (eV per atom): -5.667

=====

19.
First-principles (PBE) data for a geometry-optimized In2BiAsRh structure, as listed in the Alexandria database.

```
data_In2BiAsRh
_chemical_formula_sum 'In2 Bi1 As1 Rh1'
_space_group_name_H-M_alt 'P 4/m m m'
_space_group_IT_number 123
_space_group_name_Hall '-P 4 2'
_cell_length_a 5.2494
_cell_length_b 5.2494
_cell_length_c 4.7327
_cell_angle_alpha 90.00
_cell_angle_beta 90.00
_cell_angle_gamma 90.00
loop_
_atom_site_label
_atom_site_fract_x
_atom_site_fract_y
_atom_site_fract_z
_atom_site_occupancy
In1 0.0000 0.5000 0.0000 1
Bi1 0.0000 0.0000 0.5000 1
As1 0.5000 0.5000 0.5000 1
Rh1 0.5000 0.5000 0.0000 1
```

Values from the calculation:
Formation energy (eV per atom): 0.07
Total magnetic moment (μB/f.u.): 0.00

=====

20.
First-principles (PBE) data for a geometry-optimized Ta2TcHg structure, as listed in the Alexandria database.

```
data_Ta2TcHg
_chemical_formula_sum 'Ta4 Tc2 Hg2'
_space_group_name_H-M_alt 'I 4/m m m'
_space_group_IT_number 139
_space_group_name_Hall '-I 4 2'
_cell_length_a 4.1503
_cell_length_b 4.1503
_cell_length_c 8.1166
_cell_angle_alpha 90.00
_cell_angle_beta 90.00
_cell_angle_gamma 90.00
loop_
_atom_site_label
_atom_site_fract_x
_atom_site_fract_y
_atom_site_fract_z
_atom_site_occupancy
Ta1 0.0000 0.5000 0.2500 1
Tc1 0.0000 0.0000 0.0000 1
Hg1 0.0000 0.0000 0.5000 1
```

Values from the calculation:
Formation energy (eV per atom): 0.19
Total magnetic moment (μB/f.u.): 0.00